#w
A relaxed structure of HfCd3Au. Source: Alexandria, functional GGA-PBE.

Properties
Total magnetic moment, μB per cell: 0.00

```
data_HfCd3Au
_cell_length_a 5.111
_cell_length_b 5.111
_cell_length_c 5.111
_cell_angle_alpha 90.00
_cell_angle_beta 90.00
_cell_angle_gamma 90.00
_symmetry_space_group_name_H-M 'P 1'
_symmetry_Int_Tables_number 1
loop_
_symmetry_equiv_pos_as_xyz
'x,y,z'
loop_
_atom_site_label
_atom_site_type_symbol
_atom_site_fract_x
_atom_site_fract_y
_atom_site_fract_z
Hf1 Hf 0.000 0.000 0.000
Cd1 Cd 0.000 0.500 0.500
Cd2 Cd 0.500 0.000 0.500
Cd3 Cd 0.500 0.500 0.000
Au1 Au 0.500 0.500 0.500
```

***

#x
A relaxed structure of HfCd3Au. Source: Alexandria, functional GGA-PBE.

Properties
Total magnetic moment, μB per cell: 0.64

```
data_HfCd3Au
_cell_length_a 5.605
_cell_length_b 5.605
_cell_length_c 5.605
_cell_angle_alpha 90.00
_cell_angle_beta 90.00
_cell_angle_gamma 90.00
_symmetry_space_group_name_H-M 'P 1'
_symmetry_Int_Tables_number 1
loop_
_symmetry_equiv_pos_as_xyz
'x,y,z'
loop_
_atom_site_label
_atom_site_type_symbol
_atom_site_fract_x
_atom_site_fract_y
_atom_site_fract_z
Hf1 Hf 0.000 0.000 0.000
Cd1 Cd 0.000 0.000 0.500
Cd2 Cd 0.000 0.500 0.000
Cd3 Cd 0.500 0.000 0.000
Au1 Au 0.500 0.500 0.500
```

***

Energy relative to the most stable one, in meV/atom: #w 0; #x 421

***

#w
A relaxed structure of Cd12Hg6Au. Source: Alexandria, functional GGA-PBE.

Properties
Total magnetic moment, μB per cell: 0.00

```
data_Cd12Hg6Au
_cell_length_a 7.915
_cell_length_b 7.915
_cell_length_c 7.915
_cell_angle_alpha 96.98
_cell_angle_beta 96.98
_cell_angle_gamma 96.98
_symmetry_space_group_name_H-M 'P 1'
_symmetry_Int_Tables_number 1
loop_
_symmetry_equiv_pos_as_xyz
'x,y,z'
loop_
_atom_site_label
_atom_site_type_symbol
_atom_site_fract_x
_atom_site_fract_y
_atom_site_fract_z
Cd1 Cd 0.007 0.146 0.683
Cd2 Cd 0.146 0.683 0.007
Cd3 Cd 0.187 0.487 0.639
Cd4 Cd 0.317 0.993 0.854
Cd5 Cd 0.361 0.813 0.513
Cd6 Cd 0.487 0.639 0.187
Cd7 Cd 0.513 0.361 0.813
Cd8 Cd 0.639 0.187 0.487
Cd9 Cd 0.683 0.007 0.146
Cd10 Cd 0.813 0.513 0.361
Cd11 Cd 0.854 0.317 0.993
Cd12 Cd 0.993 0.854 0.317
Hg1 Hg 0.034 0.236 0.329
Hg2 Hg 0.236 0.329 0.034
Hg3 Hg 0.329 0.034 0.236
Hg4 Hg 0.671 0.966 0.764
Hg5 Hg 0.764 0.671 0.966
Hg6 Hg 0.966 0.764 0.671
Au1 Au 0.500 0.500 0.500
```

***

#x
A relaxed structure of Cd12Hg6Au. Source: Alexandria, functional GGA-PBE.

Properties
Total magnetic moment, μB per cell: 0.00

```
data_Cd12Hg6Au
_cell_length_a 7.859
_cell_length_b 7.859
_cell_length_c 7.859
_cell_angle_alpha 86.95
_cell_angle_beta 86.95
_cell_angle_gamma 86.95
_symmetry_space_group_name_H-M 'P 1'
_symmetry_Int_Tables_number 1
loop_
_symmetry_equiv_pos_as_xyz
'x,y,z'
loop_
_atom_site_label
_atom_site_type_symbol
_atom_site_fract_x
_atom_site_fract_y
_atom_site_fract_z
Cd1 Cd 0.021 0.088 0.336
Cd2 Cd 0.088 0.336 0.021
Cd3 Cd 0.140 0.561 0.624
Cd4 Cd 0.336 0.021 0.088
Cd5 Cd 0.376 0.860 0.439
Cd6 Cd 0.439 0.376 0.860
Cd7 Cd 0.561 0.624 0.140
Cd8 Cd 0.624 0.140 0.561
Cd9 Cd 0.664 0.979 0.912
Cd10 Cd 0.860 0.439 0.376
Cd11 Cd 0.912 0.664 0.979
Cd12 Cd 0.979 0.912 0.664
Hg1 Hg 0.193 0.611 0.240
Hg2 Hg 0.240 0.193 0.611
Hg3 Hg 0.389 0.760 0.807
Hg4 Hg 0.611 0.240 0.193
Hg5 Hg 0.760 0.807 0.389
Hg6 Hg 0.807 0.389 0.760
Au1 Au 0.000 0.000 0.000
```

***

Energy relative to the most stable one, in meV/atom: #w 13; #x 0

***

#w
A relaxed structure of Cd2HgAu2. Source: Alexandria, functional GGA-PBE.

Properties
Total magnetic moment, μB per cell: 0.00

```
data_Cd2HgAu2
_cell_length_a 4.167
_cell_length_b 4.167
_cell_length_c 13.210
_cell_angle_alpha 90.00
_cell_angle_beta 90.00
_cell_angle_gamma 90.00
_symmetry_space_group_name_H-M 'P 1'
_symmetry_Int_Tables_number 1
loop_
_symmetry_equiv_pos_as_xyz
'x,y,z'
loop_
_atom_site_label
_atom_site_type_symbol
_atom_site_fract_x
_atom_site_fract_y
_atom_site_fract_z
Cd1 Cd 0.000 0.500 0.250
Cd2 Cd 0.000 0.500 0.750
Cd3 Cd 0.500 0.000 0.250
Cd4 Cd 0.500 0.000 0.750
Hg1 Hg 0.000 0.000 0.000
Hg2 Hg 0.500 0.500 0.500
Au1 Au 0.000 0.000 0.398
Au2 Au 0.000 0.000 0.602
Au3 Au 0.500 0.500 0.102
Au4 Au 0.500 0.500 0.898
```

***

#x
A relaxed structure of Cd2HgAu2. Source: Alexandria, functional GGA-PBE.

Properties
Total magnetic moment, μB per cell: 0.00

```
data_Cd2HgAu2
_cell_length_a 7.755
_cell_length_b 7.755
_cell_length_c 3.518
_cell_angle_alpha 90.00
_cell_angle_beta 90.00
_cell_angle_gamma 90.00
_symmetry_space_group_name_H-M 'P 1'
_symmetry_Int_Tables_number 1
loop_
_symmetry_equiv_pos_as_xyz
'x,y,z'
loop_
_atom_site_label
_atom_site_type_symbol
_atom_site_fract_x
_atom_site_fract_y
_atom_site_fract_z
Cd1 Cd 0.160 0.340 0.000
Cd2 Cd 0.340 0.840 0.000
Cd3 Cd 0.660 0.160 0.000
Cd4 Cd 0.840 0.660 0.000
Hg1 Hg 0.000 0.000 0.500
Hg2 Hg 0.500 0.500 0.500
Au1 Au 0.138 0.638 0.500
Au2 Au 0.362 0.138 0.500
Au3 Au 0.638 0.862 0.500
Au4 Au 0.862 0.362 0.500
```

***

Energy relative to the most stable one, in meV/atom: #w 107; #x 0

***

#w
A relaxed structure of Cd2HgAu2. Source: Alexandria, functional GGA-PBE.

Properties
Total magnetic moment, μB per cell: 0.00

```
data_Cd2HgAu2
_cell_length_a 3.923
_cell_length_b 3.923
_cell_length_c 14.714
_cell_angle_alpha 90.00
_cell_angle_beta 90.00
_cell_angle_gamma 90.00
_symmetry_space_group_name_H-M 'P 1'
_symmetry_Int_Tables_number 1
loop_
_symmetry_equiv_pos_as_xyz
'x,y,z'
loop_
_atom_site_label
_atom_site_type_symbol
_atom_site_fract_x
_atom_site_fract_y
_atom_site_fract_z
Cd1 Cd 0.000 0.000 0.102
Cd2 Cd 0.000 0.000 0.898
Cd3 Cd 0.500 0.500 0.398
Cd4 Cd 0.500 0.500 0.602
Hg1 Hg 0.000 0.000 0.500
Hg2 Hg 0.500 0.500 0.000
Au1 Au 0.000 0.500 0.250
Au2 Au 0.000 0.500 0.750
Au3 Au 0.500 0.000 0.250
Au4 Au 0.500 0.000 0.750
```

***

#x
A relaxed structure of Cd2HgAu2. Source: Alexandria, functional GGA-PBE.

Properties
Total magnetic moment, μB per cell: 0.00

```
data_Cd2HgAu2
_cell_length_a 8.492
_cell_length_b 8.492
_cell_length_c 3.010
_cell_angle_alpha 90.00
_cell_angle_beta 90.00
_cell_angle_gamma 90.00
_symmetry_space_group_name_H-M 'P 1'
_symmetry_Int_Tables_number 1
loop_
_symmetry_equiv_pos_as_xyz
'x,y,z'
loop_
_atom_site_label
_atom_site_type_symbol
_atom_site_fract_x
_atom_site_fract_y
_atom_site_fract_z
Cd1 Cd 0.174 0.326 0.000
Cd2 Cd 0.326 0.826 0.000
Cd3 Cd 0.674 0.174 0.000
Cd4 Cd 0.826 0.674 0.000
Hg1 Hg 0.000 0.000 0.000
Hg2 Hg 0.500 0.500 0.000
Au1 Au 0.123 0.623 0.500
Au2 Au 0.377 0.123 0.500
Au3 Au 0.623 0.877 0.500
Au4 Au 0.877 0.377 0.500
```

***

Energy relative to the most stable one, in meV/atom: #w 26; #x 0

***

#w
A relaxed structure of Cd3HgAu2. Source: Alexandria, functional GGA-PBE.

Properties
Total magnetic moment, μB per cell: 0.00

```
data_Cd3HgAu2
_cell_length_a 7.903
_cell_length_b 7.903
_cell_length_c 7.903
_cell_angle_alpha 51.72
_cell_angle_beta 51.72
_cell_angle_gamma 51.72
_symmetry_space_group_name_H-M 'P 1'
_symmetry_Int_Tables_number 1
loop_
_symmetry_equiv_pos_as_xyz
'x,y,z'
loop_
_atom_site_label
_atom_site_type_symbol
_atom_site_fract_x
_atom_site_fract_y
_atom_site_fract_z
Cd1 Cd 0.015 0.750 0.485
Cd2 Cd 0.250 0.515 0.985
Cd3 Cd 0.485 0.015 0.750
Cd4 Cd 0.515 0.985 0.250
Cd5 Cd 0.750 0.485 0.015
Cd6 Cd 0.985 0.250 0.515
Hg1 Hg 0.000 0.000 0.000
Hg2 Hg 0.500 0.500 0.500
Au1 Au 0.142 0.142 0.142
Au2 Au 0.358 0.358 0.358
Au3 Au 0.642 0.642 0.642
Au4 Au 0.858 0.858 0.858
```

***

#x
A relaxed structure of Cd3HgAu2. Source: Alexandria, functional GGA-PBE.

Properties
Total magnetic moment, μB per cell: 0.00

```
data_Cd3HgAu2
_cell_length_a 8.216
_cell_length_b 8.216
_cell_length_c 8.216
_cell_angle_alpha 129.23
_cell_angle_beta 70.50
_cell_angle_gamma 134.54
_symmetry_space_group_name_H-M 'P 1'
_symmetry_Int_Tables_number 1
loop_
_symmetry_equiv_pos_as_xyz
'x,y,z'
loop_
_atom_site_label
_atom_site_type_symbol
_atom_site_fract_x
_atom_site_fract_y
_atom_site_fract_z
Cd1 Cd 0.022 0.750 0.272
Cd2 Cd 0.250 0.250 0.000
Cd3 Cd 0.478 0.750 0.728
Cd4 Cd 0.522 0.250 0.272
Cd5 Cd 0.750 0.750 0.000
Cd6 Cd 0.978 0.250 0.728
Hg1 Hg 0.000 0.500 0.500
Hg2 Hg 0.500 0.000 0.500
Au1 Au 0.138 0.209 0.347
Au2 Au 0.362 0.709 0.071
Au3 Au 0.638 0.291 0.929
Au4 Au 0.862 0.791 0.653
```

***

Energy relative to the most stable one, in meV/atom: #w 9; #x 0